# 1
Compound: TaTlW2
Source: Alexandria via LeMat-Bulk
Functional: PBEsol
Structure: optimized geometry

Summary:
Total DFT energy (no corrections): -40.0 eV for the cell shown

abc: 2.786 2.786 9.206
angles: 90.00 90.00 90.00
Element x y z (fractional)
Ta: 0.000 0.000 0.000
Tl: 0.000 0.000 0.500
W: 0.500 0.500 0.241
W: 0.500 0.500 0.759

# 2
Compound: Ta2TlW
Source: Alexandria via LeMat-Bulk
Functional: PBEsol
Structure: optimized geometry

Summary:
Total DFT energy (no corrections): -81.1 eV for the cell shown

abc: 3.265 4.873 9.223
angles: 90.00 90.00 90.00
Element x y z (fractional)
Ta: 0.000 0.000 0.229
Ta: 0.000 0.000 0.771
Ta: 0.500 0.500 0.229
Ta: 0.500 0.500 0.771
Tl: 0.000 0.500 0.500
Tl: 0.500 0.000 0.500
W: 0.000 0.500 0.000
W: 0.500 0.000 0.000

# 3
Compound: Ta2TlW
Source: Alexandria via LeMat-Bulk
Functional: PBEsol
Structure: optimized geometry

Summary:
Total DFT energy (no corrections): -39.5 eV for the cell shown

abc: 5.124 2.917 5.138
angles: 90.00 110.97 90.00
Element x y z (fractional)
Ta: 0.000 0.000 0.000
Ta: 0.000 0.500 0.500
Tl: 0.500 0.000 0.500
W: 0.500 0.500 0.000

# 4
Compound: Ta2TlW
Source: Alexandria via LeMat-Bulk
Functional: PBEsol
Structure: optimized geometry

Summary:
Total DFT energy (no corrections): -40.1 eV for the cell shown

abc: 3.409 3.409 6.206
angles: 90.00 90.00 90.00
Element x y z (fractional)
Ta: 0.000 0.000 0.000
Ta: 0.500 0.500 0.233
Tl: 0.000 0.000 0.509
W: 0.500 0.500 0.779

# 5
Compound: Ta2TlW
Source: Alexandria via LeMat-Bulk
Functional: PBEsol
Structure: optimized geometry

Summary:
Total DFT energy (no corrections): -79.1 eV for the cell shown

abc: 4.033 4.033 8.797
angles: 90.00 90.00 90.00
Element x y z (fractional)
Ta: 0.000 0.000 0.000
Ta: 0.000 0.500 0.250
Ta: 0.500 0.000 0.750
Ta: 0.500 0.500 0.500
Tl: 0.000 0.000 0.500
Tl: 0.500 0.500 0.000
W: 0.000 0.500 0.750
W: 0.500 0.000 0.250

# 6
Compound: TaTlW2
Source: Alexandria via LeMat-Bulk
Functional: PBEsol
Structure: optimized geometry

Summary:
Total DFT energy (no corrections): -40.8 eV for the cell shown

abc: 2.824 4.481 5.707
angles: 90.00 103.75 90.00
Element x y z (fractional)
Ta: 0.000 0.000 0.000
Tl: 0.568 0.500 0.265
W: 0.071 0.000 0.542
W: 0.505 0.500 0.757

# 7
Compound: Ta2TlW
Source: Alexandria via LeMat-Bulk
Functional: PBEsol
Structure: optimized geometry

Summary:
Total DFT energy (no corrections): -40.0 eV for the cell shown

abc: 4.483 4.483 3.534
angles: 90.00 90.00 90.00
Element x y z (fractional)
Ta: 0.000 0.500 0.000
Ta: 0.500 0.000 0.000
Tl: 0.000 0.000 0.500
W: 0.500 0.500 0.500

# 8
Compound: TaTlW2
Source: Alexandria via LeMat-Bulk
Functional: PBEsol
Structure: optimized geometry

Summary:
Total DFT energy (no corrections): -159.7 eV for the cell shown

abc: 6.532 6.532 6.532
angles: 90.00 90.00 90.00
Element x y z (fractional)
Ta: 0.000 0.000 0.000
Ta: 0.000 0.500 0.500
Ta: 0.500 0.000 0.500
Ta: 0.500 0.500 0.000
Tl: 0.250 0.250 0.750
Tl: 0.250 0.750 0.250
Tl: 0.750 0.250 0.250
Tl: 0.750 0.750 0.750
W: 0.000 0.000 0.500
W: 0.000 0.500 0.000
W: 0.250 0.250 0.250
W: 0.250 0.750 0.750
W: 0.500 0.000 0.000
W: 0.500 0.500 0.500
W: 0.750 0.250 0.750
W: 0.750 0.750 0.250

# 9
Compound: TaTlW2
Source: Alexandria via LeMat-Bulk
Functional: PBEsol
Structure: optimized geometry

Summary:
Total DFT energy (no corrections): -40.7 eV for the cell shown

abc: 3.439 3.439 6.026
angles: 90.00 90.00 90.00
Element x y z (fractional)
Ta: 0.000 0.000 0.000
Tl: 0.000 0.000 0.500
W: 0.500 0.500 0.216
W: 0.500 0.500 0.784

# 10
Compound: Ta2TlW
Source: Alexandria via LeMat-Bulk
Functional: PBEsol
Structure: optimized geometry

Summary:
Total DFT energy (no corrections): -40.0 eV for the cell shown

abc: 2.857 4.689 5.474
angles: 90.00 98.96 90.00
Element x y z (fractional)
Ta: 0.000 0.000 0.000
Ta: 0.264 0.500 0.744
Tl: 0.650 0.500 0.252
W: 0.545 0.000 0.539

# 11
Compound: Y2TaTl
Source: Alexandria via LeMat-Bulk
Functional: PBEsol
Structure: optimized geometry

Summary:
Total DFT energy (no corrections): -28.3 eV for the cell shown

abc: 4.610 4.610 4.412
angles: 90.00 90.00 90.00
Element x y z (fractional)
Y: 0.000 0.500 0.000
Y: 0.500 0.000 0.000
Ta: 0.000 0.000 0.500
Tl: 0.500 0.500 0.500

# 12
Compound: YTa2Tl
Source: Alexandria via LeMat-Bulk
Functional: PBEsol
Structure: optimized geometry

Summary:
Total DFT energy (no corrections): -66.5 eV for the cell shown

abc: 4.191 4.191 9.572
angles: 90.00 90.00 90.00
Element x y z (fractional)
Y: 0.000 0.000 0.000
Y: 0.500 0.500 0.500
Ta: 0.000 0.500 0.250
Ta: 0.000 0.500 0.750
Ta: 0.500 0.000 0.250
Ta: 0.500 0.000 0.750
Tl: 0.000 0.000 0.500
Tl: 0.500 0.500 0.000

# 13
Compound: Y2TaTl
Source: Alexandria via LeMat-Bulk
Functional: PBEsol
Structure: optimized geometry

Summary:
Total DFT energy (no corrections): -28.7 eV for the cell shown

abc: 3.173 3.173 9.546
angles: 90.00 90.00 90.00
Element x y z (fractional)
Y: 0.000 0.000 0.235
Y: 0.000 0.000 0.765
Ta: 0.500 0.500 0.000
Tl: 0.500 0.500 0.500

# 14
Compound: YTa2Tl
Source: Alexandria via LeMat-Bulk
Functional: PBEsol
Structure: optimized geometry

Summary:
Total DFT energy (no corrections): -65.8 eV for the cell shown

abc: 5.913 10.167 2.998
angles: 90.00 112.91 90.00
Element x y z (fractional)
Y: 0.000 0.000 0.000
Y: 0.500 0.500 0.000
Ta: 0.250 0.250 0.500
Ta: 0.250 0.750 0.500
Ta: 0.750 0.250 0.500
Ta: 0.750 0.750 0.500
Tl: 0.000 0.500 0.000
Tl: 0.500 0.000 0.000

# 15
Compound: Y2TaTl
Source: Alexandria via LeMat-Bulk
Functional: PBEsol
Structure: optimized geometry

Summary:
Total DFT energy (no corrections): -28.1 eV for the cell shown

abc: 3.215 3.215 9.490
angles: 90.00 90.00 90.00
Element x y z (fractional)
Y: 0.000 0.000 0.000
Y: 0.500 0.500 0.315
Ta: 0.000 0.000 0.547
Tl: 0.500 0.500 0.763

# 16
Compound: Zr4TaTl
Source: Alexandria via LeMat-Bulk
Functional: PBEsol
Structure: optimized geometry

Summary:
Total DFT energy (no corrections): -49.2 eV for the cell shown

abc: 5.637 5.637 5.637
angles: 60.00 60.00 60.00
Element x y z (fractional)
Zr: 0.122 0.122 0.122
Zr: 0.122 0.122 0.633
Zr: 0.122 0.633 0.122
Zr: 0.633 0.122 0.122
Ta: 0.750 0.750 0.750
Tl: 0.500 0.500 0.500

# 17
Compound: ZrTa2Tl
Source: Alexandria via LeMat-Bulk
Functional: PBEsol
Structure: optimized geometry

Summary:
Total DFT energy (no corrections): -72.6 eV for the cell shown

abc: 3.496 4.823 9.411
angles: 90.00 90.00 90.00
Element x y z (fractional)
Zr: 0.000 0.000 0.000
Zr: 0.500 0.500 0.000
Ta: 0.000 0.000 0.529
Ta: 0.000 0.500 0.755
Ta: 0.500 0.000 0.755
Ta: 0.500 0.500 0.529
Tl: 0.000 0.500 0.271
Tl: 0.500 0.000 0.271

# 18
Compound: Ta5W
Source: Alexandria via LeMat-Bulk
Functional: PBEsol
Structure: optimized geometry

Summary:
Total DFT energy (no corrections): -75.2 eV for the cell shown

abc: 5.334 5.334 5.334
angles: 60.00 60.00 60.00
Element x y z (fractional)
Ta: 0.000 0.000 0.000
Ta: 0.375 0.375 0.375
Ta: 0.375 0.375 0.875
Ta: 0.375 0.875 0.375
Ta: 0.875 0.375 0.375
W: 0.750 0.750 0.750

# 19
Compound: Ta4W
Source: Alexandria via LeMat-Bulk
Functional: PBEsol
Structure: optimized geometry

Summary:
Total DFT energy (no corrections): -114.9 eV for the cell shown

abc: 5.964 5.964 5.964
angles: 90.00 90.00 90.00
Element x y z (fractional)
Ta: 0.250 0.250 0.250
Ta: 0.250 0.250 0.750
Ta: 0.250 0.750 0.250
Ta: 0.250 0.750 0.750
Ta: 0.750 0.250 0.250
Ta: 0.750 0.250 0.750
Ta: 0.750 0.750 0.250
Ta: 0.750 0.750 0.750
W: 0.000 0.000 0.000
W: 0.500 0.500 0.500

# 20
Compound: Ta4W3
Source: Alexandria via LeMat-Bulk
Functional: PBEsol
Structure: optimized geometry

Summary:
Total DFT energy (no corrections): -91.5 eV for the cell shown

abc: 5.187 5.187 5.214
angles: 90.00 90.00 120.00
Element x y z (fractional)
Ta: 0.000 0.000 0.246
Ta: 0.000 0.000 0.754
Ta: 0.333 0.667 0.000
Ta: 0.667 0.333 0.000
W: 0.000 0.500 0.500
W: 0.500 0.000 0.500
W: 0.500 0.500 0.500

# 21
Compound: TaW5
Source: Alexandria via LeMat-Bulk
Functional: PBEsol
Structure: optimized geometry

Summary:
Total DFT energy (no corrections): -164.0 eV for the cell shown

abc: 10.037 3.168 6.339
angles: 90.00 108.44 90.00
Element x y z (fractional)
Ta: 0.000 0.000 0.000
Ta: 0.500 0.500 0.000
W: 0.000 0.000 0.500
W: 0.168 0.500 0.336
W: 0.168 0.500 0.832
W: 0.332 0.000 0.168
W: 0.332 0.000 0.664
W: 0.500 0.500 0.500
W: 0.668 0.000 0.336
W: 0.668 0.000 0.832
W: 0.832 0.500 0.168
W: 0.832 0.500 0.664

# 22
Compound: Ta5W
Source: Alexandria via LeMat-Bulk
Functional: PBEsol
Structure: optimized geometry

Summary:
Total DFT energy (no corrections): -153.5 eV for the cell shown

abc: 3.237 13.812 4.625
angles: 90.00 90.00 90.00
Element x y z (fractional)
Ta: 0.000 0.000 0.000
Ta: 0.000 0.163 0.500
Ta: 0.000 0.333 0.000
Ta: 0.000 0.667 0.000
Ta: 0.000 0.837 0.500
Ta: 0.500 0.167 0.000
Ta: 0.500 0.337 0.500
Ta: 0.500 0.500 0.000
Ta: 0.500 0.663 0.500
Ta: 0.500 0.833 0.000
W: 0.000 0.500 0.500
W: 0.500 0.000 0.500

# 23
Compound: Ta3W4
Source: Alexandria via LeMat-Bulk
Functional: PBEsol
Structure: optimized geometry

Summary:
Total DFT energy (no corrections): -187.1 eV for the cell shown

abc: 3.190 3.190 22.593
angles: 90.00 90.00 90.00
Element x y z (fractional)
Ta: 0.000 0.000 0.000
Ta: 0.000 0.000 0.288
Ta: 0.000 0.000 0.712
Ta: 0.500 0.500 0.212
Ta: 0.500 0.500 0.500
Ta: 0.500 0.500 0.788
W: 0.000 0.000 0.140
W: 0.000 0.000 0.428
W: 0.000 0.000 0.572
W: 0.000 0.000 0.860
W: 0.500 0.500 0.072
W: 0.500 0.500 0.360
W: 0.500 0.500 0.640
W: 0.500 0.500 0.928

# 24
Compound: TaW3
Source: Alexandria via LeMat-Bulk
Functional: PBEsol
Structure: optimized geometry

Summary:
Total DFT energy (no corrections): -54.3 eV for the cell shown

abc: 2.761 4.484 5.264
angles: 90.00 100.00 90.00
Element x y z (fractional)
Ta: 0.000 0.000 0.000
W: 0.254 0.500 0.749
W: 0.500 0.000 0.500
W: 0.746 0.500 0.251

# 25
Compound: TaW3
Source: Alexandria via LeMat-Bulk
Functional: PBEsol
Structure: optimized geometry

Summary:
Total DFT energy (no corrections): -162.8 eV for the cell shown

abc: 8.985 8.985 2.754
angles: 90.00 90.00 120.00
Element x y z (fractional)
Ta: 0.000 0.000 0.000
Ta: 0.333 0.667 0.667
Ta: 0.667 0.333 0.333
W: 0.000 0.500 0.000
W: 0.167 0.333 0.333
W: 0.167 0.833 0.333
W: 0.333 0.167 0.667
W: 0.500 0.000 0.000
W: 0.500 0.500 0.000
W: 0.667 0.833 0.333
W: 0.833 0.167 0.667
W: 0.833 0.667 0.667

# 26
Compound: Ta5W3
Source: Alexandria via LeMat-Bulk
Functional: PBEsol
Structure: optimized geometry

Summary:
Total DFT energy (no corrections): -209.4 eV for the cell shown

abc: 6.437 9.112 4.569
angles: 90.00 90.00 90.00
Element x y z (fractional)
Ta: 0.000 0.000 0.000
Ta: 0.246 0.500 0.500
Ta: 0.250 0.250 0.000
Ta: 0.250 0.750 0.000
Ta: 0.254 0.000 0.500
Ta: 0.500 0.500 0.000
Ta: 0.746 0.000 0.500
Ta: 0.750 0.250 0.000
Ta: 0.750 0.750 0.000
Ta: 0.754 0.500 0.500
W: 0.000 0.249 0.500
W: 0.000 0.500 0.000
W: 0.000 0.751 0.500
W: 0.500 0.000 0.000
W: 0.500 0.251 0.500
W: 0.500 0.749 0.500

# 27
Compound: Ta4W3
Source: Alexandria via LeMat-Bulk
Functional: PBEsol
Structure: optimized geometry

Summary:
Total DFT energy (no corrections): -184.3 eV for the cell shown

abc: 3.203 3.203 22.729
angles: 90.00 90.00 90.00
Element x y z (fractional)
Ta: 0.000 0.000 0.070
Ta: 0.000 0.000 0.355
Ta: 0.000 0.000 0.645
Ta: 0.000 0.000 0.930
Ta: 0.500 0.500 0.145
Ta: 0.500 0.500 0.430
Ta: 0.500 0.500 0.570
Ta: 0.500 0.500 0.855
W: 0.000 0.000 0.216
W: 0.000 0.000 0.500
W: 0.000 0.000 0.784
W: 0.500 0.500 0.000
W: 0.500 0.500 0.284
W: 0.500 0.500 0.716

# 28
Compound: Ta4W
Source: Alexandria via LeMat-Bulk
Functional: PBEsol
Structure: optimized geometry

Summary:
Total DFT energy (no corrections): -128.5 eV for the cell shown

abc: 7.296 7.296 3.229
angles: 90.00 90.00 90.00
Element x y z (fractional)
Ta: 0.095 0.706 0.000
Ta: 0.206 0.405 0.500
Ta: 0.294 0.095 0.000
Ta: 0.405 0.794 0.500
Ta: 0.595 0.206 0.500
Ta: 0.706 0.905 0.000
Ta: 0.794 0.595 0.500
Ta: 0.905 0.294 0.000
W: 0.000 0.000 0.500
W: 0.500 0.500 0.000

# 29
Compound: TaW3
Source: Alexandria via LeMat-Bulk
Functional: PBEsol
Structure: optimized geometry

Summary:
Total DFT energy (no corrections): -54.3 eV for the cell shown

abc: 4.491 4.491 3.183
angles: 90.00 90.00 90.00
Element x y z (fractional)
Ta: 0.000 0.000 0.000
W: 0.000 0.500 0.500
W: 0.500 0.000 0.500
W: 0.500 0.500 0.000